1.
Here is a relaxed structure of Cu3Au from Alexandria via LeMat-Bulk. Energies are from PBE.

Unit cell a=2.7425 b=4.3587 c=4.5901 alpha=90.00 beta=90.00 gamma=90.00
Element x y z (fractional)
Cu1 0.5000 0.5000 0.8217
Cu2 0.0000 0.5000 0.3473
Cu3 0.5000 0.0000 0.4980
Au1 0.0000 0.0000 0.9996

## Properties
Its crystal system is orthorhombic. The value obtained for the size of the total moment is 0.0 μB per cell. Its symmetry is Pmm2 (25). The calculation puts the total energy at -0.1428 hartree per atom. For the formation energy, the calculation gives 0.0068 eV per atom.

***

2.
Here is a relaxed structure of Cu7Au6 from Alexandria via LeMat-Bulk. Energies are from PBE.

Unit cell a=9.4757 b=9.4757 c=9.4757 alpha=30.39 beta=30.39 gamma=30.39
Element x y z (fractional)
Au1 0.6664 0.6664 0.6664
Au2 0.8447 0.8447 0.8447
Au3 0.1553 0.1553 0.1553
Au4 0.9493 0.9493 0.9493
Au5 0.3336 0.3336 0.3336
Au6 0.0507 0.0507 0.0507
Cu1 0.4100 0.9112 0.4100
Cu2 0.5000 0.5000 0.5000
Cu3 0.0888 0.5900 0.5900
Cu4 0.9112 0.4100 0.4100
Cu5 0.5900 0.0888 0.5900
Cu6 0.5900 0.5900 0.0888
Cu7 0.4100 0.4100 0.9112

## Properties
Its crystal system is trigonal. The value obtained for the size of the total moment is 0.0 μB per cell. Its symmetry is R-3m (166). The calculation puts the total energy at -0.1368 hartree per atom. For the formation energy, the calculation gives -0.0029 eV per atom.

***

3.
Here is a relaxed structure of Cu5Au6 from Alexandria via LeMat-Bulk. Energies are from PBE.

Unit cell a=8.1219 b=7.3108 c=4.1076 alpha=73.65 beta=59.55 gamma=56.26
Element x y z (fractional)
Au1 0.5997 0.3251 0.2381
Au2 0.9249 0.6749 0.2381
Au3 0.4003 0.6749 0.7619
Au4 0.7749 0.0000 0.7265
Au5 0.2251 0.0000 0.2735
Au6 0.0751 0.3251 0.7619
Cu1 0.1787 0.6427 0.5000
Cu2 0.5000 0.0000 0.5000
Cu3 0.6584 0.6832 0.0000
Cu4 0.8213 0.3573 0.5000
Cu5 0.3416 0.3168 0.0000

## Properties
Its crystal system is monoclinic. The value obtained for the size of the total moment is 0.0 μB per cell. Its symmetry is C2/m (12). The calculation puts the total energy at -0.1346 hartree per atom. For the formation energy, the calculation gives -0.0122 eV per atom.

***

4.
Here is a relaxed structure of CuAu4 from Alexandria via LeMat-Bulk. Energies are from PBE.

Unit cell a=7.4539 b=7.4539 c=7.4539 alpha=150.63 beta=150.63 gamma=42.02
Element x y z (fractional)
Au1 0.7500 0.2500 0.5000
Au2 0.4058 0.4058 0.0000
Au3 0.2500 0.7500 0.5000
Au4 0.5942 0.5942 0.0000
Cu1 0.0000 0.0000 0.0000

## Properties
Its crystal system is tetragonal. The value obtained for the size of the total moment is 0.0 μB per cell. Its symmetry is I4/mmm (139). For the excess energy over the best structure of this formula in the dataset, the calculation gives 295 meV per atom. The calculation puts the total energy at -0.1165 hartree per atom. For the formation energy, the calculation gives 0.2715 eV per atom.

***

> What is the size of the total moment in the second record?

0.0 μB per cell